Compound: La2Dy8Mg
Source: Alexandria via LeMat-Bulk
Functional: PBE
Structure: relaxed

a = 5.460 Å, b = 6.872 Å, c = 9.839 Å
α = 93.94°, β = 106.11°, γ = 90.00°
Positions (direct):
Dy  0.589  0.425  0.178
Dy  0.844  0.825  0.689
Dy  0.343  0.089  0.685
Dy  0.035  0.751  0.070
Dy  0.411  0.575  0.822
Dy  0.156  0.175  0.311
Dy  0.657  0.911  0.315
Dy  0.965  0.249  0.930
La  0.780  0.334  0.560
La  0.220  0.666  0.440
Mg  0.500  0.000  0.000

As for the formation energy: 0.052 eV/atom. Its total energy is -4.335 eV/atom. The total magnetization is 0.0 μB per formula unit.